Entry 1:
A geometry-optimized ZnGaH2 structure, computed with PBE.

```
data_ZnGaH2
_space_group_name_H-M_alt 'P 1'
_space_group_IT_number 1
_cell_length_a 5.691
_cell_length_b 5.691
_cell_length_c 5.691
_cell_angle_alpha 130.94
_cell_angle_beta 130.94
_cell_angle_gamma 71.92
loop_
_space_group_symop_operation_xyz
'x,y,z'
loop_
_atom_site_label
_atom_site_fract_x
_atom_site_fract_y
_atom_site_fract_z
Zn1 0.000 0.000 0.000
Zn2 0.750 0.250 0.500
Ga1 0.250 0.750 0.500
Ga2 0.500 0.500 0.000
H1 0.375 0.235 0.360
H2 0.765 0.125 0.140
H3 0.875 0.015 0.640
H4 0.985 0.625 0.860
```

---

Entry 2:
A geometry-optimized Na2AgBr structure, computed with PBE.

Formation energy from raw total energies, eV per atom: -0.521

```
data_Na2AgBr
_space_group_name_H-M_alt 'P 1'
_space_group_IT_number 1
_cell_length_a 5.322
_cell_length_b 5.322
_cell_length_c 5.322
_cell_angle_alpha 60.00
_cell_angle_beta 60.00
_cell_angle_gamma 60.00
loop_
_space_group_symop_operation_xyz
'x,y,z'
loop_
_atom_site_label
_atom_site_fract_x
_atom_site_fract_y
_atom_site_fract_z
Na1 0.250 0.250 0.250
Na2 0.750 0.750 0.750
Ag1 0.000 0.000 0.000
Br1 0.500 0.500 0.500
```

---

Entry 3:
A geometry-optimized AcTh2Pa structure, computed with PBE.

Energy of formation from the pure elements, meV/atom: 255

```
data_AcTh2Pa
_space_group_name_H-M_alt 'P 1'
_space_group_IT_number 1
_cell_length_a 3.977
_cell_length_b 3.977
_cell_length_c 8.497
_cell_angle_alpha 90.00
_cell_angle_beta 90.00
_cell_angle_gamma 90.00
loop_
_space_group_symop_operation_xyz
'x,y,z'
loop_
_atom_site_label
_atom_site_fract_x
_atom_site_fract_y
_atom_site_fract_z
Ac1 0.000 0.000 0.000
Th1 0.500 0.500 0.299
Th2 0.500 0.500 0.701
Pa1 0.000 0.000 0.500
```

---

Entry 4:
A geometry-optimized Y2Mg4Sc structure, computed with PBE.

Energy of formation from the pure elements, meV/atom: 151

```
data_Y2Mg4Sc
_space_group_name_H-M_alt 'P 1'
_space_group_IT_number 1
_cell_length_a 5.319
_cell_length_b 5.319
_cell_length_c 7.071
_cell_angle_alpha 90.00
_cell_angle_beta 90.00
_cell_angle_gamma 90.00
loop_
_space_group_symop_operation_xyz
'x,y,z'
loop_
_atom_site_label
_atom_site_fract_x
_atom_site_fract_y
_atom_site_fract_z
Y1 0.000 0.000 0.000
Y2 0.500 0.500 0.500
Mg1 0.000 0.500 0.242
Mg2 0.000 0.500 0.758
Mg3 0.500 0.000 0.242
Mg4 0.500 0.000 0.758
Sc1 0.000 0.000 0.500
```

---

Let's list final energy in order: -19.37 -9.25 -27.42 -24.58 eV per cell.
Let's list calculated volume in order: 102.9 106.6 134.4 200.0 Å³ per cell.
Let's list N(E_F) in order: 1.56 0.00 7.32 6.95 states/eV per cell.